4
Lattice="3.523 0.000 0.000 0.000 3.445 0.000 0.000 3.423 8.105" Properties=species:S:1:pos:R:3 comment="KScAu2 PBE-GGA optimized geometry" volume_a3_per_cell=98 dft_energy_ev_per_atom=-4.01 e_above_lowest_polymorph_mev_per_atom=0 delta_e_f_ev_per_atom=-0.518 dos_ef_per_ev_cell=2.7 spacegroup="P2/m, No. 10" pbc="T T T"
Sc 1.762 5.151 6.079
K 1.762 1.717 2.026
Au 0.000 3.429 7.570
Au 0.000 3.428 4.588